1.
A plane-wave DFT calculation with PBE was carried out for a geometry-optimized BaCuTe3Ir structure. Values from VASP.

Quantum ESPRESSO input file:
```
&SYSTEM
  ibrav = 0, nat = 12, ntyp = 4
/
ATOMIC_SPECIES
Ba 137.33 Ba.upf
Cu 63.55 Cu.upf
Ir 192.22 Ir.upf
Te 127.60 Te.upf
CELL_PARAMETERS angstrom
6.708 2.591 1.324
-6.925 -0.331 2.324
2.303 -8.826 5.605
ATOMIC_POSITIONS angstrom
Ba 4.167 -0.283 2.954
Ba -2.081 -6.283 6.300
Cu -0.051 -1.188 3.264
Cu 2.137 -5.378 5.990
Ir 0.000 0.000 0.000
Ir 1.152 -4.413 2.803
Te -1.686 0.520 2.109
Te -5.460 -2.347 3.660
Te -0.668 -3.378 4.584
Te 2.755 -3.188 4.670
Te 7.546 -4.219 5.593
Te 3.772 -7.086 7.145
```

Summary:
Volume in Å³/atom: 26.8
Energy in eV for the cell shown: -54.2
Magnetization in μB per formula unit: 0.0


2.
A plane-wave DFT calculation with PBE was carried out for a geometry-optimized Cu15Te structure. Values from VASP.

Quantum ESPRESSO input file:
```
&SYSTEM
  ibrav = 0, nat = 32, ntyp = 2
/
ATOMIC_SPECIES
Cu 63.55 Cu.upf
Te 127.60 Te.upf
CELL_PARAMETERS angstrom
5.092 0.000 0.000
0.000 2.700 0.000
-0.047 0.000 39.812
ATOMIC_POSITIONS angstrom
Cu 4.451 0.675 6.913
Cu 3.150 2.025 8.608
Cu 0.640 2.025 8.618
Cu 4.438 0.675 10.338
Cu 1.895 0.675 10.373
Cu 0.612 2.025 12.102
Cu 3.173 2.025 12.104
Cu 1.891 0.675 13.834
Cu 4.437 0.675 13.849
Cu 0.619 2.025 15.576
Cu 3.161 2.025 15.577
Cu 1.888 0.675 17.310
Cu 4.435 0.675 17.310
Cu 3.159 2.025 19.039
Cu 0.614 2.025 19.042
Cu 4.430 0.675 20.769
Cu 1.885 0.675 20.773
Cu 0.610 2.025 22.502
Cu 3.157 2.025 22.502
Cu 1.884 0.675 24.234
Cu 4.426 0.675 24.236
Cu 0.607 2.025 25.962
Cu 3.154 2.025 25.977
Cu 1.872 0.675 27.708
Cu 4.433 0.675 27.710
Cu 3.149 2.025 29.438
Cu 0.607 2.025 29.474
Cu 4.405 0.675 31.194
Cu 1.895 0.675 31.204
Cu 0.593 2.025 32.899
Te 1.906 0.675 6.019
Te 3.138 2.025 33.793
```

Summary:
Energy above the most stable polymorph in this dataset in meV/atom: 47
Volume in Å³/atom: 17.1


3.
A plane-wave DFT calculation with PBE was carried out for a geometry-optimized PrMg structure. Values from VASP.

Quantum ESPRESSO input file:
```
&SYSTEM
  ibrav = 0, nat = 8, ntyp = 2
/
ATOMIC_SPECIES
Mg 24.30 Mg.upf
Pr 140.91 Pr.upf
CELL_PARAMETERS angstrom
6.080 -3.511 0.000
0.000 7.021 0.000
0.000 0.000 5.632
ATOMIC_POSITIONS angstrom
Mg 0.006 3.511 0.000
Mg 3.037 1.760 0.000
Mg 3.037 5.261 0.000
Mg 2.027 3.510 2.816
Pr 0.000 0.000 0.000
Pr 5.061 -1.745 2.816
Pr 2.039 0.000 2.816
Pr 5.061 1.744 2.816
```

Summary:
Energy above the most stable polymorph in this dataset in meV/atom: 168
Volume in Å³/atom: 30.1
Magnetization in μB per formula unit: 0.0